Here is an optimized crystal structure of ScHg2Rh from Alexandria via LeMat-Bulk. Energies are from PBE.

## Properties
Crystal system: trigonal
Energy relative to the elements in meV per atom: 5
E in eV per atom: -3.567
SG: No. 166
V in Å³/f.u.: 81
Magnetic moment in μB/cell: 0.00

The structure in POSCAR format:
```
ScHg2Rh
1.0
3.233 0.000 0.000
-1.616 2.800 0.000
0.000 0.000 26.864
Sc Hg Rh
3 6 3
Cartesian
0.000 0.000 0.000
0.000 1.866 17.909
1.616 0.933 8.955
0.000 0.000 6.598
0.000 0.000 20.266
0.000 1.866 11.311
0.000 1.866 24.507
1.616 0.933 2.357
1.616 0.933 15.552
0.000 0.000 13.432
0.000 1.866 4.477
1.616 0.933 22.386
```


Here is an optimized crystal structure of La6DyIn2 from Alexandria via LeMat-Bulk. Energies are from PBE.

## Properties
Crystal system: hexagonal
Energy relative to the elements in meV per atom: -156
E in eV per atom: -4.561
Offset from the most stable computed form in meV/atom: 59
SG: No. 189
V in Å³/f.u.: 310
Magnetic moment in μB/cell: 0.00

The structure in POSCAR format:
```
La6DyIn2
1.0
8.388 0.000 0.000
-4.194 7.264 0.000
0.000 0.000 5.090
La Dy In
6 1 2
Cartesian
-1.036 1.795 0.000
-2.381 4.124 2.545
2.072 0.000 0.000
1.813 3.140 2.545
4.762 0.000 2.545
3.158 5.470 0.000
0.000 0.000 2.545
0.000 4.843 0.000
4.194 2.421 0.000
```


Here is an optimized crystal structure of HoReTe from Alexandria via LeMat-Bulk. Energies are from PBE.

## Properties
ΔE_f (raw) in eV per atom: -0.2752
Crystal system: monoclinic
E in eV per atom: -6.998
SG: No. 6
V in Å³/f.u.: 81
Magnetic moment in μB/cell: 0.00

The structure in POSCAR format:
```
HoReTe
1.0
4.555 0.000 0.000
0.000 4.190 0.000
-2.236 0.000 8.540
Ho Re Te
2 2 2
Cartesian
0.000 0.000 0.000
-0.005 0.000 3.905
2.272 0.000 2.097
2.275 2.095 3.376
2.280 2.095 0.339
2.319 2.095 5.972
```


Here is an optimized crystal structure of Pm6Tl3Ru from Alexandria via LeMat-Bulk. Energies are from PBE.

## Properties
Crystal system: trigonal
Energy relative to the elements in meV per atom: -183
E in eV per atom: -4.671
Offset from the most stable computed form in meV/atom: 79
SG: No. 167
V in Å³/f.u.: 320
Magnetic moment in μB/cell: 0.00

The structure in POSCAR format:
```
Pm6Tl3Ru
1.0
6.258 3.613 4.718
-6.258 3.613 4.718
0.000 -7.226 4.718
Pm Tl Ru
12 6 2
Cartesian
-5.502 -1.514 7.802
-1.439 -5.522 6.353
-1.439 -1.705 5.443
-4.062 4.007 6.353
-0.756 2.099 5.443
-2.196 0.394 8.712
2.196 -0.394 5.443
0.756 -2.099 8.712
4.062 -4.007 7.802
1.439 1.705 8.712
1.439 5.522 7.802
5.502 1.514 6.353
-3.785 0.670 5.898
-2.473 -2.943 8.257
1.313 -3.613 5.898
-1.312 3.613 8.257
2.473 2.943 5.898
3.785 -0.670 8.257
0.000 0.000 0.000
0.000 0.000 7.077
```